## Sr4Ga2Ir2C (PBE)

Data for a relaxed Sr4Ga2Ir2C crystal.

a b c (Å): 6.6557 6.6557 5.6581
angles (deg): 100.71 100.71 68.83
With the nearest neighbours (Å) after each atom.
Fractional coordinates of all 9 atoms:
1 Sr 0.1363 0.6424 0.7215  1 C 2.71
2 Sr 0.3576 0.8637 0.2785  1 C 2.71
3 Sr 0.6424 0.1363 0.7215  1 C 2.71
4 Sr 0.8637 0.3576 0.2785  1 C 2.71
5 Ga 0.1715 0.1715 0.8525  1 Ir 2.63
6 Ga 0.8285 0.8285 0.1475  1 Ir 2.63
7 Ir 0.3613 0.3613 0.2321  1 C 1.89
8 Ir 0.6387 0.6387 0.7679  1 C 1.89
9 C 0.5000 0.5000 0.5000  2 Ir 1.89

Output
Crystal system   monoclinic
Formation energy from the elements   -0.1922 eV/atom



## Ce2GaSi3Pd4 (PBE)

Data for a relaxed Ce2GaSi3Pd4 crystal.

a b c (Å): 4.2555 4.2555 10.0198
angles (deg): 90.00 90.00 90.00
With the nearest neighbours (Å) after each atom.
Fractional coordinates of all 10 atoms:
1 Ce 0.0000 0.5000 0.2504  8 Pd 3.23-3.29, 6 Si 3.25-3.28, 2 Ga 3.28
2 Ce 0.5000 0.0000 0.7496  8 Pd 3.23-3.29, 6 Si 3.25-3.28, 2 Ga 3.28
3 Ga 0.0000 0.0000 0.5000  4 Pd 2.50
4 Si 0.0000 0.5000 0.8715  5 Pd 2.40-2.49
5 Si 0.5000 0.0000 0.1285  5 Pd 2.40-2.49
6 Si 0.5000 0.5000 0.5000  4 Pd 2.50
7 Pd 0.0000 0.0000 0.0000  4 Si 2.49
8 Pd 0.0000 0.5000 0.6315  3 Si 2.40-2.50, 2 Ga 2.50
9 Pd 0.5000 0.0000 0.3685  3 Si 2.40-2.50, 2 Ga 2.50
10 Pd 0.5000 0.5000 0.0000  4 Si 2.49

Output
Crystal system   tetragonal
Uncorrected energy   -6.050 eV per atom



## ThPdPt5 (PBE)

Data for a relaxed ThPdPt5 crystal.

a b c (Å): 8.8541 5.4189 10.6471
angles (deg): 90.00 90.00 90.00
With the nearest neighbours (Å) after each atom.
Fractional coordinates of all 28 atoms:
1 Th 0.2411 0.2500 0.0594  8 Pt 3.02-3.32, 1 Pd 3.07
2 Th 0.2589 0.7500 0.5594  8 Pt 3.02-3.32, 1 Pd 3.07
3 Th 0.7411 0.2500 0.4406  8 Pt 3.02-3.32, 1 Pd 3.07
4 Th 0.7589 0.7500 0.9406  8 Pt 3.02-3.32, 1 Pd 3.07
5 Pd 0.1627 0.7500 0.8365  8 Pt 2.71-2.82
6 Pd 0.3373 0.2500 0.3365  8 Pt 2.71-2.82
7 Pd 0.6627 0.7500 0.6635  8 Pt 2.71-2.82
8 Pd 0.8373 0.2500 0.1635  8 Pt 2.71-2.82
9 Pt 0.0597 0.7500 0.0766  4 Pt 2.68-2.93, 1 Pd 2.71
10 Pt 0.0626 0.0055 0.3033  7 Pt 2.65-2.81, 2 Pd 2.79-2.82
11 Pt 0.0626 0.4945 0.3033  7 Pt 2.65-2.81, 2 Pd 2.79-2.82
12 Pt 0.1156 0.2500 0.5217  6 Pt 2.72-2.93, 1 Pd 2.78, 2 Th 3.02
13 Pt 0.1827 0.2500 0.7725  6 Pt 2.67-2.74, 2 Pd 2.80
14 Pt 0.3173 0.7500 0.2725  6 Pt 2.67-2.74, 2 Pd 2.80
15 Pt 0.3844 0.7500 0.0217  6 Pt 2.72-2.93, 1 Pd 2.78, 2 Th 3.02
16 Pt 0.4374 0.5055 0.8033  7 Pt 2.65-2.81, 2 Pd 2.79-2.82
17 Pt 0.4374 0.9945 0.8033  7 Pt 2.65-2.81, 2 Pd 2.79-2.82
18 Pt 0.4403 0.2500 0.5766  4 Pt 2.68-2.93, 1 Pd 2.71
19 Pt 0.5597 0.7500 0.4234  4 Pt 2.68-2.93, 1 Pd 2.71
20 Pt 0.5626 0.0055 0.1967  7 Pt 2.65-2.81, 2 Pd 2.79-2.82
21 Pt 0.5626 0.4945 0.1967  7 Pt 2.65-2.81, 2 Pd 2.79-2.82
22 Pt 0.6156 0.2500 0.9783  6 Pt 2.72-2.93, 1 Pd 2.78, 2 Th 3.02
23 Pt 0.6827 0.2500 0.7275  6 Pt 2.67-2.74, 2 Pd 2.80
24 Pt 0.8173 0.7500 0.2275  6 Pt 2.67-2.74, 2 Pd 2.80
25 Pt 0.8844 0.7500 0.4783  6 Pt 2.72-2.93, 1 Pd 2.78, 2 Th 3.02
26 Pt 0.9374 0.5055 0.6967  7 Pt 2.65-2.81, 2 Pd 2.79-2.82
27 Pt 0.9374 0.9945 0.6967  7 Pt 2.65-2.81, 2 Pd 2.79-2.82
28 Pt 0.9403 0.2500 0.9234  4 Pt 2.68-2.93, 1 Pd 2.71

Output
Crystal system   orthorhombic
Formation energy from the elements   -0.6092 eV/atom



## HfGa2W (PBE)

Data for a relaxed HfGa2W crystal.

a b c (Å): 4.5535 4.5535 4.5535
angles (deg): 60.00 60.00 60.00
With the nearest neighbours (Å) after each atom.
Fractional coordinates of all 4 atoms:
1 Hf 0.0000 0.0000 0.0000  8 Ga 2.79
2 Ga 0.2500 0.2500 0.2500  4 W 2.79, 4 Hf 2.79
3 Ga 0.7500 0.7500 0.7500  4 W 2.79, 4 Hf 2.79
4 W 0.5000 0.5000 0.5000  8 Ga 2.79

Output
Crystal system   cubic
Formation energy from the elements   0.0601 eV/atom
Energy relative to the lowest polymorph listed for this composition   0 meV/atom



## Ac2CdNi2 (PBE)

Data for a relaxed Ac2CdNi2 crystal.

a b c (Å): 7.8114 7.8114 4.0942
angles (deg): 90.00 90.00 90.00
With the nearest neighbours (Å) after each atom.
Fractional coordinates of all 10 atoms:
1 Ac 0.1788 0.3212 0.0000  6 Ni 3.08-3.10
2 Ac 0.3212 0.8212 0.0000  6 Ni 3.08-3.10
3 Ac 0.6788 0.1788 0.0000  6 Ni 3.08-3.10
4 Ac 0.8212 0.6788 0.0000  6 Ni 3.08-3.10
5 Cd 0.0000 0.0000 0.5000  4 Ni 3.15, 8 Ac 3.53
6 Cd 0.5000 0.5000 0.5000  4 Ni 3.15, 8 Ac 3.53
7 Ni 0.1125 0.6125 0.5000  1 Ni 2.48
8 Ni 0.3875 0.1125 0.5000  1 Ni 2.48
9 Ni 0.6125 0.8875 0.5000  1 Ni 2.48
10 Ni 0.8875 0.3875 0.5000  1 Ni 2.48

Output
Crystal system   tetragonal
Formation energy from the elements   -0.3005 eV/atom
Energy relative to the lowest polymorph listed for this composition   19 meV/atom



## In3CoCl (PBE)

Data for a relaxed In3CoCl crystal.

a b c (Å): 4.9934 4.9934 4.9934
angles (deg): 90.00 90.00 90.00
With the nearest neighbours (Å) after each atom.
Fractional coordinates of all 5 atoms:
1 In 0.0000 0.0000 0.5000  2 Co 2.50
2 In 0.0000 0.5000 0.0000  2 Co 2.50
3 In 0.5000 0.0000 0.0000  2 Co 2.50
4 Co 0.0000 0.0000 0.0000  6 In 2.50
5 Cl 0.5000 0.5000 0.5000  12 In 3.53

Output
Crystal system   cubic
Energy relative to the lowest polymorph listed for this composition   0 meV/atom



## AcZnAu11 (PBE)

Data for a relaxed AcZnAu11 crystal.

a b c (Å): 7.1911 7.1911 7.3837
angles (deg): 97.82 97.82 134.10
With the nearest neighbours (Å) after each atom.
Fractional coordinates of all 13 atoms:
1 Ac 0.0000 0.0000 0.0000  18 Au 3.33-3.69
2 Zn 0.5000 0.5000 0.5000  10 Au 2.68-2.91
3 Au 0.0000 0.0000 0.5000  2 Zn 2.80, 8 Au 2.85
4 Au 0.0000 0.5000 0.0000  10 Au 2.80-3.00
5 Au 0.0036 0.6571 0.6506  8 Au 2.85-3.15, 1 Zn 2.91
6 Au 0.2974 0.5125 0.7752  1 Zn 2.68, 5 Au 2.80-2.97
7 Au 0.3429 0.9964 0.3494  8 Au 2.85-3.15, 1 Zn 2.91
8 Au 0.4875 0.7026 0.2248  1 Zn 2.68, 5 Au 2.80-2.97
9 Au 0.5000 0.0000 0.0000  10 Au 2.80-3.00
10 Au 0.5125 0.2974 0.7752  1 Zn 2.68, 5 Au 2.80-2.97
11 Au 0.6571 0.0036 0.6506  8 Au 2.85-3.15, 1 Zn 2.91
12 Au 0.7026 0.4875 0.2248  1 Zn 2.68, 5 Au 2.80-2.97
13 Au 0.9964 0.3429 0.3494  8 Au 2.85-3.15, 1 Zn 2.91

Output
Crystal system   monoclinic
Formation energy from the elements   -0.2779 eV/atom



## V4Cr2Te9 (PBE)

Data for a relaxed V4Cr2Te9 crystal.

a b c (Å): 6.9521 6.9521 17.9233
angles (deg): 90.00 90.00 120.00
With the nearest neighbours (Å) after each atom.
Fractional coordinates of all 30 atoms:
1 V 0.3333 0.6667 0.0009  6 Te 2.74-2.76
2 V 0.3333 0.6667 0.3284  6 Te 2.74-2.76
3 V 0.3333 0.6667 0.5009  6 Te 2.74-2.76
4 V 0.3333 0.6667 0.8284  6 Te 2.74-2.76
5 V 0.6667 0.3333 0.1716  6 Te 2.74-2.76
6 V 0.6667 0.3333 0.4991  6 Te 2.74-2.76
7 V 0.6667 0.3333 0.6716  6 Te 2.74-2.76
8 V 0.6667 0.3333 0.9991  6 Te 2.74-2.76
9 Cr 0.0000 0.0000 0.1605  6 Te 2.73-2.77
10 Cr 0.0000 0.0000 0.3395  6 Te 2.73-2.77
11 Cr 0.0000 0.0000 0.6605  6 Te 2.73-2.77
12 Cr 0.0000 0.0000 0.8395  6 Te 2.73-2.77
13 Te 0.0000 0.3247 0.2500  2 V 2.74, 2 Cr 2.77
14 Te 0.0000 0.6753 0.7500  2 V 2.74, 2 Cr 2.77
15 Te 0.0035 0.3416 0.9155  1 Cr 2.73, 3 V 2.74-2.76
16 Te 0.0035 0.6619 0.4155  1 Cr 2.73, 3 V 2.74-2.76
17 Te 0.3247 0.0000 0.2500  2 V 2.74, 2 Cr 2.77
18 Te 0.3247 0.3247 0.7500  2 V 2.74, 2 Cr 2.77
19 Te 0.3381 0.3416 0.4155  1 Cr 2.73, 3 V 2.74-2.76
20 Te 0.3381 0.9965 0.9155  1 Cr 2.73, 3 V 2.74-2.76
21 Te 0.3416 0.0035 0.5845  1 Cr 2.73, 3 V 2.74-2.76
22 Te 0.3416 0.3381 0.0845  1 Cr 2.73, 3 V 2.74-2.76
23 Te 0.6584 0.6619 0.9155  1 Cr 2.73, 3 V 2.74-2.76
24 Te 0.6584 0.9965 0.4155  1 Cr 2.73, 3 V 2.74-2.76
25 Te 0.6619 0.0035 0.0845  1 Cr 2.73, 3 V 2.74-2.76
26 Te 0.6619 0.6584 0.5845  1 Cr 2.73, 3 V 2.74-2.76
27 Te 0.6753 0.0000 0.7500  2 V 2.74, 2 Cr 2.77
28 Te 0.6753 0.6753 0.2500  2 V 2.74, 2 Cr 2.77
29 Te 0.9965 0.3381 0.5845  1 Cr 2.73, 3 V 2.74-2.76
30 Te 0.9965 0.6584 0.0845  1 Cr 2.73, 3 V 2.74-2.76

Output
Crystal system   trigonal
Uncorrected energy   -5.868 eV per atom



## Cd3Pt (PBE)

Data for a relaxed Cd3Pt crystal.

a b c (Å): 5.7197 5.7197 5.7197
angles (deg): 149.15 63.79 125.67
With the nearest neighbours (Å) after each atom.
Fractional coordinates of all 4 atoms:
1 Cd 0.0000 0.0000 0.0000  4 Pt 2.91-3.13, 8 Cd 2.96-3.07
2 Cd 0.4059 0.6420 0.7639  3 Pt 2.89-3.10, 9 Cd 2.96-3.07
3 Cd 0.8781 0.6420 0.2361  3 Pt 2.89-3.10, 9 Cd 2.96-3.07
4 Pt 0.4756 0.9756 0.5000  10 Cd 2.89-3.13, 2 Pt 3.04

Output
Crystal system   orthorhombic
Formation energy from the elements   -0.1570 eV/atom



## RbAl3N (PBE)

Data for a relaxed RbAl3N crystal.

a b c (Å): 6.0216 6.0216 6.0216
angles (deg): 90.00 90.00 90.00
With the nearest neighbours (Å) after each atom.
Fractional coordinates of all 5 atoms:
1 Rb 0.0000 0.0000 0.0000  6 Al 3.01
2 Al 0.0000 0.0000 0.5000  2 Rb 3.01
3 Al 0.0000 0.5000 0.0000  2 Rb 3.01
4 Al 0.5000 0.0000 0.0000  2 Rb 3.01
5 N 0.5000 0.5000 0.5000  12 Al 4.26

Output
Crystal system   cubic
Energy relative to the lowest polymorph listed for this composition   1954 meV/atom



## PuAgTe2 (PBE)

Data for a relaxed PuAgTe2 crystal.

a b c (Å): 5.0741 5.0741 3.9343
angles (deg): 90.00 90.00 90.00
With the nearest neighbours (Å) after each atom.
Fractional coordinates of all 4 atoms:
1 Pu 0.0000 0.0000 0.0000  8 Te 3.21, 4 Ag 3.59
2 Ag 0.5000 0.5000 0.0000  8 Te 3.21, 4 Pu 3.59
3 Te 0.0000 0.5000 0.5000  4 Ag 3.21, 4 Pu 3.21, 4 Te 3.59
4 Te 0.5000 0.0000 0.5000  4 Ag 3.21, 4 Pu 3.21, 4 Te 3.59

Output
Crystal system   tetragonal
Uncorrected energy   -6.403 eV per atom



## SrTl2AgAs (PBE)

Data for a relaxed SrTl2AgAs crystal.

a b c (Å): 5.3067 5.3067 5.9341
angles (deg): 90.00 90.00 90.00
With the nearest neighbours (Å) after each atom.
Fractional coordinates of all 5 atoms:
1 Sr 0.0000 0.0000 0.0000  2 Ag 2.97
2 Tl 0.0000 0.5000 0.5000  2 Ag 2.65
3 Tl 0.5000 0.0000 0.5000  2 Ag 2.65
4 Ag 0.0000 0.0000 0.5000  4 Tl 2.65, 2 Sr 2.97
5 As 0.5000 0.5000 0.0000  4 Sr 3.75, 8 Tl 3.98

Output
Crystal system   tetragonal
Formation energy from the elements   0.0975 eV/atom